Material: RbHoZnTe3
Method: DFT, PBE
State: optimized geometry

Calculated values
E above lowest polymorph (meV/atom): 18

a = 16.6912 Å, b = 4.4134 Å, c = 11.7826 Å
α = 90.00°, β = 90.00°, γ = 90.00°
Closest atoms and distances in Å follow each position.
Space group Pnma (No. 62)
Symmetry-distinct sites (fractional):
Rb: 0.2350 0.2500 0.0336 [4 per cell]  7 Te 3.63-3.99
Ho: 0.0211 0.2500 0.3475 [4 per cell]  6 Te 3.02-3.21
Zn: 0.0162 0.7500 0.0993 [4 per cell]  4 Te 2.65-2.76
Te: 0.0808 0.7500 0.8833 [4 per cell]  3 Zn 2.74-2.76
Te: 0.0959 0.2500 0.5809 [4 per cell]  3 Ho 3.02-3.07
Te: 0.1329 0.7500 0.2515 [4 per cell]  1 Zn 2.65

***

Material: Gd3Mg3Cu2Hg
Method: DFT, PBE
State: optimized geometry

Calculated values
Total DFT energy (no corrections) (eV per atom): -3.174

a = 7.5194 Å, b = 7.5194 Å, c = 4.1946 Å
α = 90.00°, β = 90.00°, γ = 120.00°
Closest atoms and distances in Å follow each position.
Space group P-62m (No. 189)
Symmetry-distinct sites (fractional):
Gd: 0.0000 0.5794 0.0000 [3 per cell]  4 Cu 3.08, 1 Hg 3.16, 2 Mg 3.22
Mg: 0.0000 0.2540 0.5000 [3 per cell]  2 Hg 2.84, 2 Cu 2.85
Cu: 0.3333 0.6667 0.5000 [2 per cell]  3 Mg 2.85, 6 Gd 3.08
Hg: 0.0000 0.0000 0.0000 [1 per cell]  6 Mg 2.84, 3 Gd 3.16

***

Material: HoSiNi
Method: DFT, PBE
State: optimized geometry

Calculated values
Total DFT energy (no corrections) (eV per atom): -5.339

a = 7.6493 Å, b = 7.6493 Å, c = 3.1511 Å
α = 90.00°, β = 90.00°, γ = 120.00°
Closest atoms and distances in Å follow each position.
Space group P-62m (No. 189)
Symmetry-distinct sites (fractional):
Ho: 0.0000 0.2921 0.0000 [3 per cell]  4 Si 2.72-2.73, 4 Ni 3.00
Si: 0.0000 0.0000 0.5000 [1 per cell]  6 Ho 2.73, 3 Ni 2.79
Si: 0.3333 0.6667 0.0000 [2 per cell]  3 Ho 2.72, 6 Ni 2.90
Ni: 0.0000 0.6359 0.5000 [3 per cell]  5 Si 2.79-2.90, 6 Ho 3.00-3.07